# 1
The following is a DFT calculation (GGA-PBE) of an optimized crystal structure of ScAg.

Cell and atoms, written as extended XYZ:
```
4
Lattice="-1.475 2.264 3.927 -1.510 -2.500 3.768 2.634 -0.152 3.971" Properties=species:S:1:pos:R:3 pbc="T T T"
Ag 0.000 0.000 0.000
Ag -0.264 -0.291 8.750
Sc -0.088 -0.097 2.917
Sc -0.176 -0.194 5.833
```

electronic total energy = -18.840 eV per cell
space group = Fd-3m

# 2
The following is a DFT calculation (GGA-PBE) of an optimized crystal structure of PmCd5Cu2.

Cell and atoms, written as extended XYZ:
```
8
Lattice="-4.178 -0.504 0.209 -1.556 -5.922 -2.909 -1.346 -4.382 4.994" Properties=species:S:1:pos:R:3 pbc="T T T"
Pm 0.000 0.000 0.000
Cd -1.451 -5.152 1.042
Cd -3.775 -4.198 -0.642
Cd -3.305 -6.611 2.936
Cd -3.384 -7.196 -0.068
Cd -3.695 -3.612 2.362
Cu -5.285 -8.296 1.757
Cu -1.795 -2.512 0.537
```

electronic total energy = -18.521 eV per cell
space group = Immm

# 3
The following is a DFT calculation (GGA-PBE) of an optimized crystal structure of PrThAu.

Cell and atoms, written as extended XYZ:
```
3
Lattice="4.365 0.000 0.000 0.000 4.982 0.000 0.000 -2.491 4.315" Properties=species:S:1:pos:R:3 pbc="T T T"
Pr 2.910 2.491 1.438
Au 0.728 0.000 2.877
Th 0.728 0.000 0.000
```

electronic total energy = -15.995 eV per cell
space group = P-6m2
excess energy over the best structure of this formula in the dataset = 224 meV per atom

no.,DFT formation energy (meV/atom)
1,-119
2,-125
3,-173